Compound: Fe10O11F9
Source: Alexandria
Functional: PBE with a Hubbard U
Structure: relaxed

Geometry as POSCAR:
```
Fe10O11F9
1.0
-3.383 -0.747 -3.143
3.167 -0.497 -3.408
0.614 -15.021 2.729
Fe O F
10 11 9
Cartesian
-3.166 -0.775 -3.192 Fe
3.617 -12.544 -1.245 Fe
-2.836 -9.780 -1.620 Fe
3.227 -6.491 -2.446 Fe
3.120 -3.474 -2.972 Fe
0.393 -14.164 -1.068 Fe
0.196 -8.119 -1.774 Fe
0.269 -11.229 -1.186 Fe
0.178 -5.032 -2.331 Fe
-0.009 -2.086 -2.866 Fe
0.402 -10.804 0.730 O
0.261 -7.726 0.121 O
0.039 -4.650 -0.436 O
0.003 -1.755 -0.999 O
1.660 -12.652 -1.183 O
1.322 -6.576 -2.207 O
1.251 -3.498 -2.768 O
-1.252 -0.714 -3.257 O
-0.937 -12.755 -1.070 O
-0.925 -9.679 -1.550 O
0.392 -14.588 -2.954 O
0.555 -13.850 1.074 F
1.251 -0.603 -3.355 F
1.633 -9.580 -1.612 F
-1.236 -6.621 -2.100 F
-1.345 -3.659 -2.675 F
0.137 -8.475 -3.870 F
0.283 -11.476 -3.311 F
-0.095 -2.523 -4.982 F
-0.080 -5.442 -4.456 F
```

Results
Calculated volume, Å³ per atom: 11.145
Space group: P1, No. 1
Energy relative to the lowest polymorph listed for this composition, meV per atom: 21
Magnetic moment, μB per atom: 0.68